Below is a relaxed structure of Er2PuCrO8, with properties calculated at the PBE with a Hubbard U level.

**Total DFT energy (no corrections)**: -8.590 eV/atom
**Magnetization**: 0.33 μB/atom

```
Er2PuCrO8
1.0
3.444 -3.589 0.000
3.444 3.589 0.000
0.000 0.000 6.622
Er Pu Cr O
2 1 1 8
direct
0.000 0.000 0.236 Er
0.000 0.000 0.764 Er
0.500 0.500 0.500 Pu
0.500 0.500 0.000 Cr
0.212 0.212 0.000 O
0.212 0.212 0.500 O
0.321 0.679 0.259 O
0.321 0.679 0.741 O
0.679 0.321 0.259 O
0.679 0.321 0.741 O
0.788 0.788 0.000 O
0.788 0.788 0.500 O
```